Density functional theory data (PBE) for crystalline TaTlCr at its relaxed geometry.

Unit cell a=3.243 b=5.045 c=13.626 alpha=90.00 beta=90.00 gamma=90.00
Space group Fmm2 (No. 42)
One atom of each set of equivalent atoms:
Ta (0.000, 0.000, 0.000) [4 per cell]
Tl (0.000, 0.000, 0.308) [4 per cell]
Cr (0.000, 0.000, 0.635) [4 per cell]

Calculated values
ΔE to the lowest computed polymorph ... 80.9 meV per atom
DFT formation energy ... 556 meV per atom



Density functional theory data (PBE) for crystalline Ta2TlCr at its relaxed geometry.

Unit cell a=4.147 b=4.147 c=8.163 alpha=90.00 beta=90.00 gamma=90.00
Space group I4/mmm (No. 139)
One atom of each set of equivalent atoms:
Ta (0.000, 0.500, 0.250) [4 per cell]
Tl (0.000, 0.000, 0.000) [2 per cell]
Cr (0.000, 0.000, 0.500) [2 per cell]

Calculated values
ΔE to the lowest computed polymorph ... 201.9 meV per atom
DFT formation energy ... 522 meV per atom



Density functional theory data (PBE) for crystalline Ta2TlCr at its relaxed geometry.

Unit cell a=3.348 b=3.348 c=6.427 alpha=90.00 beta=90.00 gamma=90.00
Space group P4mm (No. 99)
One atom of each set of equivalent atoms:
Ta (0.000, 0.000, 0.000) [1 per cell]
Ta (0.500, 0.500, 0.235) [1 per cell]
Tl (0.000, 0.000, 0.529) [1 per cell]
Cr (0.500, 0.500, 0.793) [1 per cell]

Calculated values
ΔE to the lowest computed polymorph ... 46.7 meV per atom
DFT formation energy ... 367 meV per atom